(1)
## AcMg11Cu (PBE)

Data for a relaxed AcMg11Cu crystal.

a b c (Å): 7.845 7.845 7.740
angles (deg): 97.08 97.08 137.16
Fractional positions:
Ac  0.000  0.000  0.000
Mg  0.000  0.000  0.500
Mg  0.000  0.500  0.000
Mg  0.006  0.354  0.360
Mg  0.297  0.507  0.773
Mg  0.354  0.006  0.360
Mg  0.493  0.703  0.227
Mg  0.500  0.000  0.000
Mg  0.507  0.297  0.773
Mg  0.646  0.994  0.640
Mg  0.703  0.493  0.227
Mg  0.994  0.646  0.640
Cu  0.500  0.500  0.500

Total energy, eV/atom: -2.04
Total magnetization, μB/atom: 0.00
Fermi-level density of states, states/eV/cell: 5.85
Calculated formation energy, meV/atom: -63

(2)
## AcMg6Cu2 (PBE)

Data for a relaxed AcMg6Cu2 crystal.

a b c (Å): 4.352 4.352 10.798
angles (deg): 90.00 90.00 90.00
Fractional positions:
Ac  0.000  0.000  0.000
Mg  0.000  0.000  0.500
Mg  0.000  0.500  0.278
Mg  0.000  0.500  0.722
Mg  0.500  0.000  0.278
Mg  0.500  0.000  0.722
Mg  0.500  0.500  0.500
Cu  0.500  0.500  0.118
Cu  0.500  0.500  0.882

Total energy, eV/atom: -2.52
Total magnetization, μB/atom: 0.00
Fermi-level density of states, states/eV/cell: 7.09
Calculated formation energy, meV/atom: -91

(3)
## Ac2Mg3Cu2 (PBE)

Data for a relaxed Ac2Mg3Cu2 crystal.

a b c (Å): 10.858 4.423 7.601
angles (deg): 90.00 94.77 90.00
Fractional positions:
Ac  0.132  0.000  0.346
Ac  0.368  0.500  0.654
Ac  0.632  0.500  0.346
Ac  0.868  0.000  0.654
Mg  0.000  0.500  0.000
Mg  0.171  0.000  0.866
Mg  0.329  0.500  0.134
Mg  0.500  0.000  0.000
Mg  0.671  0.500  0.866
Mg  0.829  0.000  0.134
Cu  0.075  0.500  0.652
Cu  0.425  0.000  0.348
Cu  0.575  0.000  0.652
Cu  0.925  0.500  0.348

Total energy, eV/atom: -3.15
Total magnetization, μB/atom: 0.00
Fermi-level density of states, states/eV/cell: 8.90
Calculated formation energy, meV/atom: -118

(4)
## Ac3Mg9Cu2 (PBE)

Data for a relaxed Ac3Mg9Cu2 crystal.

a b c (Å): 8.917 8.917 8.917
angles (deg): 146.76 102.27 87.20
Fractional positions:
Ac  0.000  0.000  0.000
Ac  0.300  0.300  0.000
Ac  0.700  0.700  0.000
Mg  0.003  0.359  0.644
Mg  0.156  0.875  0.281
Mg  0.285  0.641  0.644
Mg  0.406  0.125  0.281
Mg  0.500  0.000  0.500
Mg  0.594  0.875  0.719
Mg  0.715  0.359  0.356
Mg  0.844  0.125  0.719
Mg  0.997  0.641  0.356
Cu  0.329  0.500  0.829
Cu  0.671  0.500  0.171

Total energy, eV/atom: -2.52
Total magnetization, μB/atom: 0.00
Fermi-level density of states, states/eV/cell: 10.72
Calculated formation energy, meV/atom: -28

(5)
## Ac2MgCu (PBE)

Data for a relaxed Ac2MgCu crystal.

a b c (Å): 3.806 3.806 34.282
angles (deg): 90.00 90.00 120.00
Fractional positions:
Ac  0.000  0.000  0.085
Ac  0.000  0.000  0.915
Ac  0.333  0.667  0.581
Ac  0.333  0.667  0.752
Ac  0.667  0.333  0.248
Ac  0.667  0.333  0.419
Mg  0.000  0.000  0.500
Mg  0.333  0.667  0.167
Mg  0.667  0.333  0.833
Cu  0.000  0.000  0.000
Cu  0.333  0.667  0.667
Cu  0.667  0.333  0.333

Total energy, eV/atom: -3.00
Total magnetization, μB/atom: 0.00
Fermi-level density of states, states/eV/cell: 8.69
E above lowest polymorph, meV per atom: 550.2
Calculated formation energy, meV/atom: 482

(6)
## Ac2Mg3Cu4 (PBE)

Data for a relaxed Ac2Mg3Cu4 crystal.

a b c (Å): 9.164 9.164 7.458
angles (deg): 90.00 90.00 140.71
Fractional positions:
Ac  0.105  0.895  0.913
Ac  0.395  0.605  0.413
Ac  0.605  0.395  0.587
Ac  0.895  0.105  0.087
Mg  0.000  0.000  0.500
Mg  0.019  0.481  0.750
Mg  0.481  0.019  0.250
Mg  0.500  0.500  0.000
Mg  0.519  0.981  0.750
Mg  0.981  0.519  0.250
Cu  0.161  0.839  0.502
Cu  0.180  0.320  0.750
Cu  0.320  0.180  0.250
Cu  0.339  0.661  0.002
Cu  0.661  0.339  0.998
Cu  0.680  0.820  0.750
Cu  0.820  0.680  0.250
Cu  0.839  0.161  0.498

Total energy, eV/atom: -3.33
Total magnetization, μB/atom: 0.00
Fermi-level density of states, states/eV/cell: 10.14
Calculated formation energy, meV/atom: -67